<a>
A plane-wave DFT calculation with PBE was carried out for a relaxed structure of Co2Ge3.

## Properties
Volume, Å³ per cell: 289
M_tot, μB per atom: 0.000

a b c (Å): 7.5360 2.8078 13.6526
angles (deg): 90.00 90.00 90.00
Space group Pnma (No. 62)
Inequivalent atoms, fractional coordinates:
Co 0.0448 0.2500 0.2332 [4 per cell]
Co 0.2498 0.2500 0.9805 [4 per cell]
Ge 0.0130 0.2500 0.4114 [4 per cell]
Ge 0.0717 0.7500 0.0843 [4 per cell]
Ge 0.2177 0.2500 0.7965 [4 per cell]

<b>
A plane-wave DFT calculation with PBE was carried out for a relaxed structure of Co2Ge3.

## Properties
Volume, Å³ per cell: 301
M_tot, μB per atom: 0.000

a b c (Å): 10.7425 5.0410 6.6692
angles (deg): 90.00 123.61 90.00
Space group C2/c (No. 15)
Inequivalent atoms, fractional coordinates:
Co 0.0659 0.2385 0.4946 [8 per cell]
Ge 0.0000 0.3777 0.7500 [4 per cell]
Ge 0.1863 0.1045 0.2800 [8 per cell]

Stability verdict: <b>, ahead by 149 meV/atom

<a>
A plane-wave DFT calculation with PBE was carried out for a relaxed structure of Co3GeH.

## Properties
Volume, Å³ per cell: 190
M_tot, μB per atom: 0.453

a b c (Å): 8.8700 5.0657 4.4521
angles (deg): 90.00 108.61 90.00
Space group Cm (No. 8)
Inequivalent atoms, fractional coordinates:
Co 0.0000 0.0000 0.0000 [2 per cell]
Co 0.9996 0.2504 0.5249 [4 per cell]
Co 0.2530 0.2468 0.0019 [4 per cell]
Co 0.2585 0.5000 0.5127 [2 per cell]
Ge 0.0051 0.5000 0.0480 [2 per cell]
Ge 0.2389 0.0000 0.4896 [2 per cell]
H 0.1412 0.5000 0.7253 [2 per cell]
H 0.3765 0.5000 0.2534 [2 per cell]

<b>
A plane-wave DFT calculation with PBE was carried out for a relaxed structure of Co3GeH.

## Properties
Volume, Å³ per cell: 190
M_tot, μB per atom: 0.463

a b c (Å): 5.0930 7.3532 5.0779
angles (deg): 90.00 90.00 90.00
Space group Cmcm (No. 63)
Inequivalent atoms, fractional coordinates:
Co 0.0000 0.2364 0.2500 [4 per cell]
Co 0.2465 0.5000 0.0000 [8 per cell]
Ge 0.0000 0.2303 0.7500 [4 per cell]
H 0.0000 0.4583 0.2500 [4 per cell]

<c>
A plane-wave DFT calculation with PBE was carried out for a relaxed structure of Co3GeH.

## Properties
Volume, Å³ per cell: 294
M_tot, μB per atom: 0.623

a b c (Å): 4.1624 4.1624 16.9627
angles (deg): 90.00 90.00 90.00
Space group I-4m2 (No. 119)
Inequivalent atoms, fractional coordinates:
Co 0.0000 0.0000 0.1475 [4 per cell]
Co 0.0000 0.2420 0.6249 [8 per cell]
Ge 0.0000 0.0000 0.5000 [2 per cell]
Ge 0.0000 0.5000 0.7500 [2 per cell]
H 0.0000 0.5000 0.1374 [4 per cell]

<d>
A plane-wave DFT calculation with PBE was carried out for a relaxed structure of Co3GeH.

## Properties
Volume, Å³ per cell: 194
M_tot, μB per atom: 0.701

a b c (Å): 6.3393 4.6230 6.7404
angles (deg): 90.00 101.30 90.00
Space group P2_1/c (No. 14)
Inequivalent atoms, fractional coordinates:
Co 0.0581 0.0872 0.1832 [4 per cell]
Co 0.1966 0.5753 0.0612 [4 per cell]
Co 0.3203 0.0947 0.9294 [4 per cell]
Ge 0.4153 0.6113 0.8045 [4 per cell]
H 0.0616 0.2482 0.9357 [4 per cell]

Stability verdict: <a>, ahead by 27 meV/atom

<a>
A plane-wave DFT calculation with PBE was carried out for a relaxed structure of Co3GeH.

## Properties
Volume, Å³ per cell: 206
M_tot, μB per atom: 0.653

a b c (Å): 4.6255 6.6717 6.6900
angles (deg): 90.00 90.00 90.00
Space group Pnma (No. 62)
Inequivalent atoms, fractional coordinates:
Co 0.0376 0.0766 0.1573 [8 per cell]
Co 0.2374 0.2500 0.8174 [4 per cell]
Ge 0.0000 0.0000 0.5000 [4 per cell]
H 0.0560 0.7500 0.0491 [4 per cell]

<b>
A plane-wave DFT calculation with PBE was carried out for a relaxed structure of Co3GeH.

## Properties
Volume, Å³ per cell: 187
M_tot, μB per atom: 0.000

a b c (Å): 7.0832 7.4129 3.5623
angles (deg): 90.00 90.00 90.00
Space group Cm (No. 8)
Inequivalent atoms, fractional coordinates:
Co 0.0000 0.0000 0.0000 [2 per cell]
Co 0.0019 0.2474 0.5001 [4 per cell]
Co 0.0083 0.5000 0.0000 [2 per cell]
Co 0.2498 0.0000 0.5001 [2 per cell]
Co 0.2589 0.5000 0.4997 [2 per cell]
Ge 0.2511 0.2291 0.0003 [4 per cell]
H 0.0066 0.5000 0.5000 [2 per cell]
H 0.2587 0.5000 0.9984 [2 per cell]

<c>
A plane-wave DFT calculation with PBE was carried out for a relaxed structure of Co3GeH.

## Properties
Volume, Å³ per cell: 207
M_tot, μB per atom: 0.720

a b c (Å): 4.9599 8.1070 5.1450
angles (deg): 90.00 90.00 90.00
Space group Cmcm (No. 63)
Inequivalent atoms, fractional coordinates:
Co 0.0000 0.0000 0.0000 [4 per cell]
Co 0.2420 0.2851 0.2500 [8 per cell]
Ge 0.0000 0.4549 0.7500 [4 per cell]
H 0.0000 0.1412 0.2500 [4 per cell]

Stability verdict: <b>, ahead by 124 meV/atom

<a>
A plane-wave DFT calculation with PBE was carried out for a relaxed structure of Co3GeH.

## Properties
Volume, Å³ per cell: 853
M_tot, μB per atom: 0.611

a b c (Å): 9.4841 9.4841 9.4841
angles (deg): 90.00 90.00 90.00
Space group Fd-3m (No. 227, origin choice 2)
Inequivalent atoms, fractional coordinates:
Co 0.0663 0.3750 0.3750 [48 per cell]
Ge 0.0000 0.0000 0.5000 [16 per cell]
H 0.0000 0.0000 0.0000 [16 per cell]

<b>
A plane-wave DFT calculation with PBE was carried out for a relaxed structure of Co3GeH.

## Properties
Volume, Å³ per cell: 210
M_tot, μB per atom: 0.744

a b c (Å): 4.7619 4.7619 9.2501
angles (deg): 90.00 90.00 90.00
Space group I-4m2 (No. 119)
Inequivalent atoms, fractional coordinates:
Co 0.0000 0.0000 0.1248 [4 per cell]
Co 0.0000 0.2438 0.6330 [8 per cell]
Ge 0.0000 0.5000 0.0972 [4 per cell]
H 0.0000 0.0000 0.5000 [2 per cell]
H 0.0000 0.5000 0.7500 [2 per cell]

Stability verdict: <a>, ahead by 121 meV/atom

<a>
A plane-wave DFT calculation with PBE was carried out for a relaxed structure of CoGeH.

## Properties
Volume, Å³ per cell: 240
M_tot, μB per atom: 0.000

a b c (Å): 5.3355 10.6351 4.2340
angles (deg): 90.00 90.00 90.00
Space group Pna2_1 (No. 33)
Inequivalent atoms, fractional coordinates:
Co 0.0284 0.0953 0.0000 [4 per cell]
Co 0.0456 0.6807 0.2150 [4 per cell]
Ge 0.1589 0.5153 0.8390 [4 per cell]
Ge 0.2181 0.2761 0.2489 [4 per cell]
H 0.0971 0.9636 0.8136 [4 per cell]
H 0.1233 0.1811 0.7041 [4 per cell]

<b>
A plane-wave DFT calculation with PBE was carried out for a relaxed structure of CoGeH.

## Properties
Volume, Å³ per cell: 131
M_tot, μB per atom: 0.000

a b c (Å): 4.8791 3.7658 7.1257
angles (deg): 90.00 90.00 90.00
Space group Pnma (No. 62)
Inequivalent atoms, fractional coordinates:
Co 0.1380 0.2500 0.2070 [4 per cell]
Ge 0.1470 0.2500 0.8679 [4 per cell]
H 0.0723 0.7500 0.6037 [4 per cell]

Stability verdict: <b>, ahead by 72 meV/atom

<a>
A plane-wave DFT calculation with PBE was carried out for a relaxed structure of CoGeH.

## Properties
Volume, Å³ per cell: 84
M_tot, μB per atom: 0.000

a b c (Å): 3.5803 3.5803 6.5360
angles (deg): 90.00 90.00 90.00
Space group P4/nmm (No. 129, origin choice 2)
Inequivalent atoms, fractional coordinates:
Co 0.2500 0.7500 0.0000 [2 per cell]
Ge 0.2500 0.2500 0.2264 [2 per cell]
H 0.2500 0.2500 0.4634 [2 per cell]

<b>
A plane-wave DFT calculation with PBE was carried out for a relaxed structure of CoGeH.

## Properties
Volume, Å³ per cell: 65
M_tot, μB per atom: 0.032

a b c (Å): 3.0017 3.0017 7.2010
angles (deg): 90.00 90.00 90.00
Space group I4mm (No. 107)
Inequivalent atoms, fractional coordinates:
Co 0.0000 0.0000 0.0000 [2 per cell]
Ge 0.0000 0.0000 0.6681 [2 per cell]
H 0.0000 0.0000 0.2125 [2 per cell]

Stability verdict: <a>, ahead by 15 meV/atom

<a>
A plane-wave DFT calculation with PBE was carried out for a relaxed structure of Co2GeH2.

## Properties
Volume, Å³ per cell: 80
M_tot, μB per atom: 0.000

a b c (Å): 2.8779 2.8779 9.6677
angles (deg): 90.00 90.00 90.00
Space group I4/mmm (No. 139)
Inequivalent atoms, fractional coordinates:
Co 0.0000 0.0000 0.1429 [4 per cell]
Ge 0.0000 0.0000 0.5000 [2 per cell]
H 0.0000 0.5000 0.2500 [4 per cell]

<b>
A plane-wave DFT calculation with PBE was carried out for a relaxed structure of Co2GeH2.

## Properties
Volume, Å³ per cell: 82
M_tot, μB per atom: 0.000

a b c (Å): 5.5309 5.5309 2.6689
angles (deg): 90.00 90.00 90.00
Space group P4/mbm (No. 127)
Inequivalent atoms, fractional coordinates:
Co 0.1609 0.3391 0.0000 [4 per cell]
Ge 0.0000 0.0000 0.5000 [2 per cell]
H 0.0679 0.5679 0.5000 [4 per cell]

<c>
A plane-wave DFT calculation with PBE was carried out for a relaxed structure of Co2GeH2.

## Properties
Volume, Å³ per cell: 163
M_tot, μB per atom: 0.000

a b c (Å): 5.1024 7.7410 4.7361
angles (deg): 90.00 119.17 90.00
Space group C2/c (No. 15)
Inequivalent atoms, fractional coordinates:
Co 0.0000 0.0747 0.2500 [4 per cell]
Co 0.0000 0.3035 0.7500 [4 per cell]
Ge 0.0000 0.3819 0.2500 [4 per cell]
H 0.1379 0.1200 0.9987 [8 per cell]

Stability verdict: <a>, ahead by 55 meV/atom

<a>
A plane-wave DFT calculation with PBE was carried out for a relaxed structure of HfCo2GeH.

## Properties
Volume, Å³ per cell: 236
M_tot, μB per atom: 0.000

a b c (Å): 3.5847 9.8090 6.7214
angles (deg): 90.00 90.00 90.00
Space group Cmcm (No. 63)
Inequivalent atoms, fractional coordinates:
Hf 0.0000 0.0600 0.2500 [4 per cell]
Co 0.0000 0.3469 0.0526 [8 per cell]
Ge 0.0000 0.2230 0.7500 [4 per cell]
H 0.0000 0.5000 0.0000 [4 per cell]

<b>
A plane-wave DFT calculation with PBE was carried out for a relaxed structure of HfCo2GeH.

## Properties
Volume, Å³ per cell: 58
M_tot, μB per atom: 0.000

a b c (Å): 3.8377 3.8377 3.9347
angles (deg): 90.00 90.00 90.00
Space group P4/mmm (No. 123)
Inequivalent atoms, fractional coordinates:
Hf 0.0000 0.0000 0.0000 [1 per cell]
Co 0.0000 0.5000 0.5000 [2 per cell]
Ge 0.5000 0.5000 0.0000 [1 per cell]
H 0.0000 0.0000 0.5000 [1 per cell]

Stability verdict: <a>, ahead by 180 meV/atom